NaHo2SeO5 | PBE | relaxed

a = 6.512 Å, b = 6.512 Å, c = 12.013 Å
α = 90.00°, β = 90.00°, γ = 90.00°
Space group I4/mcm (No. 140)
Symmetry-distinct sites (fractional):
Na 0.000 0.000 0.250 (multiplicity 4)
Ho 0.175 0.325 0.000 (multiplicity 8)
Se 0.000 0.500 0.250 (multiplicity 4)
O 0.000 0.000 0.000 (multiplicity 4)
O 0.138 0.362 0.384 (multiplicity 16)

Properties
ΔE_f (raw) (meV per atom): -2096
Crystal system: tetragonal
Total moment (μB/f.u.): 0.95

***

Na2HoSe2O6 | PBE | relaxed

a = 8.897 Å, b = 5.900 Å, c = 6.903 Å
α = 90.00°, β = 115.50°, γ = 90.00°
Space group C2/m (No. 12)
Symmetry-distinct sites (fractional):
Na 0.204 0.000 0.119 (multiplicity 4)
Ho 0.000 0.000 0.500 (multiplicity 2)
Se 0.084 0.500 0.245 (multiplicity 4)
O 0.051 0.263 0.766 (multiplicity 8)
O 0.240 0.500 0.503 (multiplicity 4)

Properties
ΔE_f (raw) (meV per atom): -1539
Crystal system: monoclinic
Total moment (μB/f.u.): 0.00

***

NaHo3Se4O12 | PBE | relaxed

a = 12.1704 Å, b = 12.1704 Å, c = 8.3283 Å
α = 90.00°, β = 90.00°, γ = 120.00°
Space group R32 (No. 155, hexagonal axes)
Symmetry-distinct sites (fractional):
Na 0.0000 0.0000 0.0000 (multiplicity 3)
Ho 0.0000 0.5640 0.0000 (multiplicity 9)
Se 0.0000 0.0000 0.5000 (multiplicity 3)
Se 0.0000 0.4379 0.5000 (multiplicity 9)
O 0.0000 0.6163 0.5000 (multiplicity 9)
O 0.0000 0.8433 0.5000 (multiplicity 9)
O 0.0468 0.2452 0.1730 (multiplicity 18)

Properties
ΔE_f (raw) (meV per atom): -1577
Crystal system: trigonal
Total moment (μB/f.u.): 0.90

***

Na3Ho3SeO8 | PBE | relaxed

a = 6.7011 Å, b = 6.7011 Å, c = 16.7069 Å
α = 90.00°, β = 90.00°, γ = 120.00°
Space group R-3m (No. 166, hexagonal axes)
Symmetry-distinct sites (fractional):
Na 0.0000 0.5000 0.0000 (multiplicity 9)
Ho 0.0000 0.5000 0.5000 (multiplicity 9)
Se 0.0000 0.0000 0.5000 (multiplicity 3)
O 0.0000 0.0000 0.2359 (multiplicity 6)
O 0.0243 0.5122 0.2333 (multiplicity 18)

Properties
ΔE_f (raw) (meV per atom): -2365
Crystal system: trigonal
Total moment (μB/f.u.): 0.00

***

NaHo9Si6O26 | PBE | relaxed

a = 9.4143 Å, b = 9.4143 Å, c = 6.7652 Å
α = 90.00°, β = 90.00°, γ = 120.00°
Space group P3 (No. 143)
Symmetry-distinct sites (fractional):
Na 0.0000 0.0000 0.0000 (multiplicity 1)
Ho 0.0000 0.0000 0.4918 (multiplicity 1)
Ho 0.0989 0.4298 0.2437 (multiplicity 3)
Ho 0.1018 0.6702 0.7459 (multiplicity 3)
Ho 0.6667 0.3333 0.4981 (multiplicity 1)
Ho 0.6667 0.3333 0.9943 (multiplicity 1)
Si 0.3046 0.0403 0.7446 (multiplicity 3)
Si 0.3598 0.2962 0.2491 (multiplicity 3)
O 0.0239 0.8367 0.2591 (multiplicity 3)
O 0.0859 0.3343 0.5546 (multiplicity 3)
O 0.0868 0.3392 0.9320 (multiplicity 3)
O 0.2082 0.1433 0.7281 (multiplicity 3)
O 0.3333 0.6667 0.2449 (multiplicity 1)
O 0.3333 0.6667 0.7407 (multiplicity 1)
O 0.4254 0.4177 0.0540 (multiplicity 3)
O 0.4352 0.4219 0.4399 (multiplicity 3)
O 0.4630 0.1960 0.2445 (multiplicity 3)
O 0.5036 0.1655 0.7477 (multiplicity 3)

Properties
ΔE_f (raw) (meV per atom): -3264
Crystal system: trigonal
Total moment (μB/f.u.): 0.00

***

Na3SmHo2O6 | PBE | relaxed

a = 5.975 Å, b = 10.352 Å, c = 5.934 Å
α = 90.00°, β = 109.58°, γ = 90.00°
Space group C2/m (No. 12)
Symmetry-distinct sites (fractional):
Na 0.000 0.000 0.000 (multiplicity 2)
Na 0.000 0.330 0.000 (multiplicity 4)
Sm 0.000 0.500 0.500 (multiplicity 2)
Ho 0.000 0.167 0.500 (multiplicity 4)
O 0.229 0.000 0.712 (multiplicity 4)
O 0.241 0.329 0.711 (multiplicity 8)

Properties
ΔE_f (raw) (meV per atom): -2770
Crystal system: monoclinic
Total moment (μB/f.u.): 0.00

***

Na2SmHoO4 | PBE | relaxed

a = 5.948 Å, b = 3.470 Å, c = 6.013 Å
α = 90.00°, β = 109.69°, γ = 90.00°
Space group P2/m (No. 10)
Symmetry-distinct sites (fractional):
Na 0.000 0.000 0.000 (multiplicity 1)
Na 0.000 0.500 0.500 (multiplicity 1)
Sm 0.500 0.000 0.500 (multiplicity 1)
Ho 0.500 0.500 0.000 (multiplicity 1)
O 0.287 0.500 0.255 (multiplicity 2)
O 0.289 0.000 0.770 (multiplicity 2)

Properties
ΔE_f (raw) (meV per atom): -2743
Crystal system: monoclinic
Total moment (μB/f.u.): 0.00

***

NaHoSnO3 | PBE | relaxed

a = 8.503 Å, b = 3.456 Å, c = 8.735 Å
α = 90.00°, β = 111.07°, γ = 90.00°
Space group P2_1/m (No. 11)
Symmetry-distinct sites (fractional):
Na 0.212 0.250 0.329 (multiplicity 2)
Ho 0.162 0.750 0.638 (multiplicity 2)
Sn 0.467 0.750 0.167 (multiplicity 2)
O 0.020 0.750 0.364 (multiplicity 2)
O 0.318 0.250 0.609 (multiplicity 2)
O 0.401 0.750 0.883 (multiplicity 2)

Properties
ΔE_f (raw) (meV per atom): -2229
Crystal system: monoclinic
Total moment (μB/f.u.): 0.00

***

Na2Ho2SnO6 | PBE | relaxed

a = 5.813 Å, b = 10.047 Å, c = 5.916 Å
α = 90.00°, β = 106.74°, γ = 90.00°
Space group C2/m (No. 12)
Symmetry-distinct sites (fractional):
Na 0.000 0.158 0.000 (multiplicity 4)
Ho 0.000 0.335 0.500 (multiplicity 4)
Sn 0.000 0.000 0.500 (multiplicity 2)
O 0.211 0.162 0.696 (multiplicity 8)
O 0.244 0.000 0.302 (multiplicity 4)

Properties
ΔE_f (raw) (meV per atom): -2472
Crystal system: monoclinic
Total moment (μB/f.u.): 0.00

***

Na4HoTa3O12 | PBE | relaxed

a = 8.185 Å, b = 8.185 Å, c = 8.185 Å
α = 90.00°, β = 90.00°, γ = 90.00°
Space group Im-3m (No. 229)
Symmetry-distinct sites (fractional):
Na 0.250 0.250 0.250 (multiplicity 8)
Ho 0.000 0.000 0.000 (multiplicity 2)
Ta 0.000 0.000 0.500 (multiplicity 6)
O 0.000 0.000 0.266 (multiplicity 12)
O 0.000 0.250 0.500 (multiplicity 12)

Properties
ΔE_f (raw) (meV per atom): -2427
Crystal system: cubic
Total moment (μB/f.u.): 1.68

***

NaHo2TaO6 | PBE | relaxed

a = 5.6557 Å, b = 5.6557 Å, c = 15.0511 Å
α = 90.00°, β = 90.00°, γ = 120.00°
Space group R3 (No. 146, hexagonal axes)
Symmetry-distinct sites (fractional):
Na 0.0000 0.0000 0.0000 (multiplicity 3)
Ho 0.0000 0.0000 0.2219 (multiplicity 3)
Ho 0.0000 0.0000 0.7258 (multiplicity 3)
Ta 0.0000 0.0000 0.5203 (multiplicity 3)
O 0.0374 0.3474 0.1251 (multiplicity 9)
O 0.0736 0.6883 0.2792 (multiplicity 9)

Properties
ΔE_f (raw) (meV per atom): -3103
Crystal system: trigonal
Total moment (μB/f.u.): 0.00

***

Na3Tb2HoO6 | PBE | relaxed

a = 5.952 Å, b = 10.310 Å, c = 5.928 Å
α = 90.00°, β = 109.56°, γ = 90.00°
Space group C2/m (No. 12)
Symmetry-distinct sites (fractional):
Na 0.000 0.000 0.000 (multiplicity 2)
Na 0.000 0.334 0.000 (multiplicity 4)
Tb 0.000 0.167 0.500 (multiplicity 4)
Ho 0.000 0.500 0.500 (multiplicity 2)
O 0.236 0.335 0.711 (multiplicity 8)
O 0.240 0.000 0.711 (multiplicity 4)

Properties
ΔE_f (raw) (meV per atom): -2792
Crystal system: monoclinic
Total moment (μB/f.u.): 0.00